(1)
Ce2YCu6 (PBE, optimized geometry); DOS at the Fermi energy = 13.53 states/eV/cell; formation enthalpy at 0 K = -174 meV/atom
1.0
7.4962 0.0000 0.0000
-3.7481 6.4919 0.0000
0.0000 0.0000 3.4596
Ce Y Cu
2 1 6
Cartesian
0.0000 4.3280 0.0000
3.7481 2.1640 0.0000
0.0000 0.0000 0.0000
-1.2467 2.1593 1.7298
-2.5014 4.3326 1.7298
2.4934 0.0000 1.7298
1.2467 2.1593 1.7298
5.0029 0.0000 1.7298
2.5014 4.3326 1.7298

***

(2)
CeY2Cu (PBE, optimized geometry); DOS at the Fermi energy = 6.88 states/eV/cell; formation enthalpy at 0 K = -50 meV/atom; energy above the most stable polymorph in this dataset = 0 meV/atom
1.0
3.4966 0.0000 0.0000
0.0000 3.4966 0.0000
0.0000 0.0000 8.5976
Ce Y Cu
1 2 1
Cartesian
0.0000 0.0000 0.0000
1.7483 1.7483 2.5920
1.7483 1.7483 6.0056
0.0000 0.0000 4.2988

***

(3)
Ce2YCu (PBE, optimized geometry); DOS at the Fermi energy = 9.23 states/eV/cell; formation enthalpy at 0 K = 270 meV/atom; energy above the most stable polymorph in this dataset = 211 meV/atom
1.0
1.6227 0.9369 11.0343
-1.6227 0.9369 11.0343
0.0000 -1.8738 11.0343
Ce Y Cu
2 1 1
Cartesian
0.0000 0.0000 3.2052
0.0000 0.0000 29.8977
0.0000 0.0000 0.0000
0.0000 0.0000 16.5515

***

(4)
CeY4Cu5 (PBE, optimized geometry); DOS at the Fermi energy = 9.30 states/eV/cell; formation enthalpy at 0 K = -197 meV/atom
1.0
3.4623 0.0000 0.0000
0.0000 3.4623 0.0000
0.0000 0.0000 17.7522
Ce Y Cu
1 4 5
Cartesian
0.0000 0.0000 0.0000
0.0000 0.0000 3.5991
0.0000 0.0000 7.1157
0.0000 0.0000 10.6365
0.0000 0.0000 14.1531
1.7311 1.7311 1.8907
1.7311 1.7311 5.3545
1.7311 1.7311 8.8761
1.7311 1.7311 12.3977
1.7311 1.7311 15.8615

***

(5)
Ce2YCu (PBE, optimized geometry); DOS at the Fermi energy = 10.36 states/eV/cell; formation enthalpy at 0 K = 59 meV/atom; energy above the most stable polymorph in this dataset = 0 meV/atom
1.0
3.6327 0.0000 0.0000
0.0000 3.6327 0.0000
0.0000 0.0000 8.0782
Ce Y Cu
2 1 1
Cartesian
0.0000 0.0000 1.5271
0.0000 0.0000 6.5512
1.8164 1.8164 4.0391
1.8164 1.8164 0.0000

***

(6)
Ce2YCu9 (PBE, optimized geometry); DOS at the Fermi energy = 13.34 states/eV/cell; formation enthalpy at 0 K = -143 meV/atom
1.0
2.5674 1.4823 8.4562
-2.5674 1.4823 8.4562
0.0000 -2.9646 8.4562
Ce Y Cu
2 1 9
Cartesian
0.0000 0.0000 3.7047
0.0000 0.0000 21.6638
0.0000 0.0000 0.0000
-1.2694 -0.7329 10.4911
0.0000 0.0000 8.4164
0.0000 -1.4657 14.8775
-1.2694 0.7329 14.8775
0.0000 0.0000 12.6843
1.2694 -0.7329 10.4911
0.0000 1.4657 10.4911
0.0000 0.0000 16.9522
1.2694 0.7329 14.8774